DFT (PBE) results for a geometry-optimized MoAu3Cl structure.

Summary:
Energy above the most stable polymorph in this dataset: 0.000 eV/f.u.
Raw formation energy: 1173 meV per atom

Cell: 5.083 5.083 5.083 Å, 90.00 90.00 90.00°
Space group Pm-3m (No. 221)
Asymmetric unit:
Mo  0.000  0.000  0.000
Au  0.000  0.000  0.500
Cl  0.500  0.500  0.500